No. 1
Below is an optimized crystal structure of CsMg14Si, with properties calculated at the PBE level.

Geometry as POSCAR:
```
CsMg14Si
1.0
6.542 0.000 0.000
-3.271 5.666 0.000
0.000 0.000 10.641
Cs Mg Si
1 14 1
Cartesian
0.000 0.000 0.000
-1.588 2.860 0.000
0.000 1.899 2.965
0.000 1.899 7.676
-1.626 4.716 2.965
-1.626 4.716 7.676
1.588 2.860 0.000
0.000 5.611 0.000
3.271 0.087 5.321
1.711 2.789 5.321
1.626 4.716 2.965
1.626 4.716 7.676
3.271 1.889 2.598
3.271 1.889 8.043
4.831 2.789 5.321
0.000 0.000 5.321
```

- formation energy without anion corrections (eV/atom) = 0.20
- symmetry = No. 187
- distance to the lowest polymorph of the same formula (eV/f.u.) = 0.42


No. 2
Below is an optimized crystal structure of CsMgSi3, with properties calculated at the PBE level.

Geometry as POSCAR:
```
CsMgSi3
1.0
5.563 0.000 0.000
0.000 5.563 0.000
0.000 0.000 5.563
Cs Mg Si
1 1 3
Cartesian
0.000 0.000 0.000
2.782 2.782 2.782
0.000 0.000 2.782
0.000 2.782 0.000
2.782 0.000 0.000
```

- formation energy without anion corrections (eV/atom) = 2.13
- symmetry = No. 221
- distance to the lowest polymorph of the same formula (eV/f.u.) = 6.21


No. 3
Below is an optimized crystal structure of CsMg3Si, with properties calculated at the PBE level.

Geometry as POSCAR:
```
CsMg3Si
1.0
7.270 0.000 0.000
0.000 7.270 0.000
0.000 0.000 7.270
Cs Mg Si
1 3 1
Cartesian
0.000 0.000 0.000
0.000 0.000 3.635
0.000 3.635 0.000
3.635 0.000 0.000
3.635 3.635 3.635
```

- formation energy without anion corrections (eV/atom) = 1.59
- symmetry = No. 221
- distance to the lowest polymorph of the same formula (eV/f.u.) = 6.09


No. 4
Below is an optimized crystal structure of CsMgSi2Tc, with properties calculated at the PBE level.

Geometry as POSCAR:
```
CsMgSi2Tc
1.0
4.760 0.000 0.000
0.000 4.760 0.000
0.000 0.000 5.351
Cs Mg Si Tc
1 1 2 1
Cartesian
0.000 0.000 0.000
2.380 2.380 0.000
0.000 2.380 2.676
2.380 0.000 2.676
2.380 2.380 2.676
```

- formation energy without anion corrections (eV/atom) = 0.07
- symmetry = No. 123


No. 5
Below is an optimized crystal structure of CsMg4Sn2, with properties calculated at the PBE level.

Geometry as POSCAR:
```
CsMg4Sn2
1.0
9.322 0.000 0.000
0.000 9.322 0.000
0.000 0.000 4.780
Cs Mg Sn
2 8 4
Cartesian
0.000 0.000 0.000
4.661 4.661 2.390
0.782 3.130 2.390
1.531 5.443 0.000
3.130 0.782 2.390
3.879 7.791 0.000
5.443 1.531 0.000
6.191 8.540 2.390
7.791 3.879 0.000
8.540 6.191 2.390
2.080 7.241 2.390
2.581 2.581 0.000
6.741 6.741 0.000
7.241 2.080 2.390
```

- symmetry = No. 136
- energy of formation (eV/f.u.) = -0.60


No. 6
Below is an optimized crystal structure of CsMgSn2, with properties calculated at the PBE level.

Geometry as POSCAR:
```
CsMgSn2
1.0
2.461 1.421 7.410
-2.461 1.421 7.410
0.000 -2.841 7.410
Cs Mg Sn
1 1 2
Cartesian
0.000 0.000 0.000
0.000 0.000 11.115
0.000 0.000 4.587
0.000 0.000 17.642
```

- symmetry = No. 166
- energy of formation (eV/f.u.) = -0.46